Si2AgOs | PBE | relaxed

The structure in CIF format:
```
data_Si2AgOs
_space_group_name_H-M_alt 'P 1 m 1'
_space_group_IT_number 6
_space_group_name_Hall 'P -2y'
_cell_length_a 3.0598
_cell_length_b 4.4675
_cell_length_c 4.4809
_cell_angle_alpha 90.00
_cell_angle_beta 98.28
_cell_angle_gamma 90.00
loop_
_atom_site_label
_atom_site_type_symbol
_atom_site_fract_x
_atom_site_fract_y
_atom_site_fract_z
_atom_site_occupancy
Si1 Si 0.0000 0.0000 0.0000 1
Si2 Si 0.4635 0.5000 0.7803 1
Ag1 Ag 0.8737 0.5000 0.2973 1
Os1 Os 0.3862 0.0000 0.5663 1
```

Summary:
The energy above the most stable polymorph in this dataset is 126 meV per atom. The calculation puts the magnetic moment at 0.00 μB/atom. For the formation energy from raw total energies, the calculation gives 0.16 eV/atom.